The following is a DFT calculation (PBE) of an optimized crystal structure of LiGaBi2.

* symmetry: R-3m, No. 166
* formation enthalpy at 0 K: 59 meV per atom

Unit cell a=3.455 b=3.455 c=11.163 alpha=81.10 beta=81.10 gamma=60.00
Sites, in units of the cell vectors:
Ga1 0.500 0.500 0.500
Bi1 0.086 0.086 0.742
Bi2 0.914 0.914 0.258
Li1 0.000 0.000 0.000